(1)
Below is a relaxed LaB3Se crystal, with properties calculated at the PBE level.

Values from the calculation:
Relative energy among the computed polymorphs (meV per atom): 0.0
Formation energy without anion corrections (eV/atom): 1.18

Cell: 4.2531 4.2531 4.2531 Å, 90.00 90.00 90.00°
Space group Pm-3m (No. 221)
Symmetry-distinct sites (fractional):
La  0.0000  0.0000  0.0000 (multiplicity 1)
B  0.0000  0.5000  0.5000 (multiplicity 3)
Se  0.5000  0.5000  0.5000 (multiplicity 1)

(2)
Below is a relaxed LaBSe2 crystal, with properties calculated at the PBE level.

Values from the calculation:
Formation energy without anion corrections (eV/atom): -0.38

Cell: 7.0318 7.0318 6.6651 Å, 90.00 90.00 90.00°
Space group I-42d (No. 122)
Symmetry-distinct sites (fractional):
La  0.0000  0.0000  0.0000 (multiplicity 4)
B  0.0000  0.0000  0.5000 (multiplicity 4)
Se  0.1399  0.7500  0.6250 (multiplicity 8)

(3)
Below is a relaxed La2BSe crystal, with properties calculated at the PBE level.

Values from the calculation:
Relative energy among the computed polymorphs (meV per atom): 0.0
Formation energy without anion corrections (eV/atom): -0.62

Cell: 7.3915 7.3915 8.0085 Å, 90.00 90.00 90.00°
Space group I-42d (No. 122)
Symmetry-distinct sites (fractional):
La  0.2022  0.7500  0.1250 (multiplicity 8)
B  0.0000  0.0000  0.0000 (multiplicity 4)
Se  0.0000  0.0000  0.5000 (multiplicity 4)

(4)
Below is a relaxed LaBSe2 crystal, with properties calculated at the PBE level.

Values from the calculation:
Formation energy without anion corrections (eV/atom): -0.35

Cell: 4.0930 4.0930 23.0261 Å, 90.00 90.00 120.00°
Space group R-3m (No. 166, hexagonal axes)
Symmetry-distinct sites (fractional):
La  0.0000  0.0000  0.0000 (multiplicity 3)
B  0.0000  0.0000  0.5000 (multiplicity 3)
Se  0.0000  0.0000  0.4193 (multiplicity 6)

(5)
Below is a relaxed La3BSe6 crystal, with properties calculated at the PBE level.

Values from the calculation:
Formation energy without anion corrections (eV/atom): -1.51

Cell: 11.5951 14.2765 6.8520 Å, 90.00 90.00 90.00°
Space group Cmc2_1 (No. 36)
Symmetry-distinct sites (fractional):
La  0.0000  0.1066  0.0000 (multiplicity 4)
La  0.1829  0.3979  0.9203 (multiplicity 8)
B  0.0000  0.3064  0.3677 (multiplicity 4)
Se  0.0000  0.2926  0.6747 (multiplicity 4)
Se  0.0000  0.4459  0.2581 (multiplicity 4)
Se  0.1471  0.2466  0.2404 (multiplicity 8)
Se  0.1600  0.0235  0.7071 (multiplicity 8)

(6)
Below is a relaxed LaBSe4 crystal, with properties calculated at the PBE level.

Values from the calculation:
Formation energy without anion corrections (eV/atom): -0.60

Cell: 9.3384 9.3384 7.3893 Å, 90.00 90.00 90.00°
Space group I4_1/amd (No. 141, origin choice 2)
Symmetry-distinct sites (fractional):
La  0.0000  0.2500  0.3750 (multiplicity 4)
B  0.0000  0.2500  0.8750 (multiplicity 4)
Se  0.0000  0.0693  0.7182 (multiplicity 16)

(7)
Below is a relaxed LaSi3B crystal, with properties calculated at the PBE level.

Values from the calculation:
Relative energy among the computed polymorphs (meV per atom): 0.0
Formation energy without anion corrections (eV/atom): 0.25

Cell: 4.4302 4.4302 4.4302 Å, 90.00 90.00 90.00°
Space group Pm-3m (No. 221)
Symmetry-distinct sites (fractional):
La  0.0000  0.0000  0.0000 (multiplicity 1)
Si  0.0000  0.5000  0.5000 (multiplicity 3)
B  0.5000  0.5000  0.5000 (multiplicity 1)

(8)
Below is a relaxed LaSiB3 crystal, with properties calculated at the PBE level.

Values from the calculation:
Relative energy among the computed polymorphs (meV per atom): 0.0
Formation energy without anion corrections (eV/atom): 0.61

Cell: 4.0944 4.0944 4.0944 Å, 90.00 90.00 90.00°
Space group Pm-3m (No. 221)
Symmetry-distinct sites (fractional):
La  0.0000  0.0000  0.0000 (multiplicity 1)
Si  0.5000  0.5000  0.5000 (multiplicity 1)
B  0.0000  0.5000  0.5000 (multiplicity 3)

(9)
Below is a relaxed LaSiB crystal, with properties calculated at the PBE level.

Values from the calculation:
Relative energy among the computed polymorphs (meV per atom): 0.0
Formation energy without anion corrections (eV/atom): -0.58

Cell: 3.6160 3.6160 4.5897 Å, 90.00 90.00 120.00°
Space group P-6m2 (No. 187)
Symmetry-distinct sites (fractional):
La  0.0000  0.0000  0.0000 (multiplicity 1)
Si  0.6667  0.3333  0.5000 (multiplicity 1)
B  0.3333  0.6667  0.5000 (multiplicity 1)

(10)
Below is a relaxed LaSiB2 crystal, with properties calculated at the PBE level.

Values from the calculation:
Formation energy without anion corrections (eV/atom): 0.00

Cell: 4.3783 4.3783 13.2545 Å, 90.00 90.00 90.00°
Space group I4_1/amd (No. 141, origin choice 2)
Symmetry-distinct sites (fractional):
La  0.0000  0.2500  0.3750 (multiplicity 4)
Si  0.0000  0.2500  0.8750 (multiplicity 4)
B  0.0000  0.0000  0.0000 (multiplicity 8)

(11)
Below is a relaxed LaSiB crystal, with properties calculated at the PBE level.

Values from the calculation:
Relative energy among the computed polymorphs (meV per atom): 31.1
Formation energy without anion corrections (eV/atom): -0.55

Cell: 3.6103 4.5891 6.3402 Å, 90.00 90.00 90.00°
Space group Pmmm (No. 47)
Symmetry-distinct sites (fractional):
La  0.0000  0.0000  0.0000 (multiplicity 1)
La  0.5000  0.0000  0.5000 (multiplicity 1)
Si  0.0000  0.5000  0.3099 (multiplicity 2)
B  0.5000  0.5000  0.1392 (multiplicity 2)

(12)
Below is a relaxed LaSi3B crystal, with properties calculated at the PBE level.

Values from the calculation:
Relative energy among the computed polymorphs (meV per atom): 1979.9
Formation energy without anion corrections (eV/atom): 2.23

Cell: 5.5561 5.5561 5.5561 Å, 90.00 90.00 90.00°
Space group Pm-3m (No. 221)
Symmetry-distinct sites (fractional):
La  0.0000  0.0000  0.0000 (multiplicity 1)
Si  0.0000  0.0000  0.5000 (multiplicity 3)
B  0.5000  0.5000  0.5000 (multiplicity 1)

(13)
Below is a relaxed LaSiB3 crystal, with properties calculated at the PBE level.

Values from the calculation:
Relative energy among the computed polymorphs (meV per atom): 1928.8
Formation energy without anion corrections (eV/atom): 2.53

Cell: 4.7743 4.7743 4.7743 Å, 90.00 90.00 90.00°
Space group Pm-3m (No. 221)
Symmetry-distinct sites (fractional):
La  0.0000  0.0000  0.0000 (multiplicity 1)
Si  0.5000  0.5000  0.5000 (multiplicity 1)
B  0.0000  0.0000  0.5000 (multiplicity 3)

(14)
Below is a relaxed La2SiSnB crystal, with properties calculated at the PBE level.

Values from the calculation:
Formation energy without anion corrections (eV/atom): -0.10

Cell: 5.8850 5.8850 3.7520 Å, 90.00 90.00 90.00°
Space group P4/mmm (No. 123)
Symmetry-distinct sites (fractional):
La  0.0000  0.5000  0.0000 (multiplicity 2)
Si  0.0000  0.0000  0.0000 (multiplicity 1)
Sn  0.5000  0.5000  0.5000 (multiplicity 1)
B  0.0000  0.0000  0.5000 (multiplicity 1)

(15)
Below is a relaxed La2Si2Tc2B crystal, with properties calculated at the PBE level.

Values from the calculation:
Formation energy without anion corrections (eV/atom): -0.58

Cell: 11.3226 4.1944 7.3748 Å, 90.00 128.31 90.00°
Space group C2/m (No. 12)
Symmetry-distinct sites (fractional):
La  0.0726  0.0000  0.3103 (multiplicity 4)
Si  0.1532  0.5000  0.7107 (multiplicity 4)
Tc  0.2100  0.5000  0.0903 (multiplicity 4)
B  0.0000  0.5000  0.0000 (multiplicity 2)

(16)
Below is a relaxed LaSm3B24 crystal, with properties calculated at the PBE level.

Values from the calculation:
Final energy (eV/atom): -6.883

Cell: 8.2523 11.8008 5.7841 Å, 90.00 90.00 90.00°
Space group Cmmm (No. 65)
Symmetry-distinct sites (fractional):
La  0.0000  0.0000  0.0000 (multiplicity 2)
Sm  0.0000  0.2528  0.5000 (multiplicity 4)
Sm  0.0000  0.5000  0.0000 (multiplicity 2)
B  0.0994  0.5000  0.5000 (multiplicity 4)
B  0.1003  0.0000  0.5000 (multiplicity 4)
B  0.0997  0.2497  0.0000 (multiplicity 8)
B  0.2495  0.4258  0.3479 (multiplicity 16)
B  0.2502  0.1756  0.1520 (multiplicity 16)

(17)
Below is a relaxed LaSmB12 crystal, with properties calculated at the PBE level.

Values from the calculation:
Final energy (eV/atom): -6.922

Cell: 8.2759 8.2759 8.2759 Å, 90.00 90.00 90.00°
Space group Fm-3m (No. 225)
Symmetry-distinct sites (fractional):
La  0.0000  0.0000  0.0000 (multiplicity 4)
Sm  0.0000  0.0000  0.5000 (multiplicity 4)
B  0.0998  0.2500  0.2500 (multiplicity 48)

(18)
Below is a relaxed LaSmB12 crystal, with properties calculated at the PBE level.

Values from the calculation:
Final energy (eV/atom): -6.922

Cell: 4.1372 4.1372 8.2733 Å, 90.00 90.00 90.00°
Space group P4/mmm (No. 123)
Symmetry-distinct sites (fractional):
La  0.0000  0.0000  0.0000 (multiplicity 1)
Sm  0.0000  0.0000  0.5000 (multiplicity 1)
B  0.1996  0.5000  0.2514 (multiplicity 8)
B  0.5000  0.5000  0.1004 (multiplicity 2)
B  0.5000  0.5000  0.4011 (multiplicity 2)

(19)
Below is a relaxed LaSnB crystal, with properties calculated at the PBE level.

Values from the calculation:
Relative energy among the computed polymorphs (meV per atom): 7.9

Cell: 3.6990 8.5194 8.8037 Å, 90.00 90.00 90.00°
Space group Immm (No. 71)
Symmetry-distinct sites (fractional):
La  0.0000  0.0000  0.2472 (multiplicity 4)
Sn  0.0000  0.2758  0.0000 (multiplicity 4)
B  0.0000  0.4047  0.5000 (multiplicity 4)

(20)
Below is a relaxed LaSnB2 crystal, with properties calculated at the PBE level.

Values from the calculation:
Final energy (eV/atom): -5.008

Cell: 4.7664 4.7664 14.3708 Å, 90.00 90.00 90.00°
Space group I-42d (No. 122)
Symmetry-distinct sites (fractional):
La  0.0000  0.0000  0.0000 (multiplicity 4)
Sn  0.0000  0.0000  0.5000 (multiplicity 4)
B  0.1191  0.2500  0.6250 (multiplicity 8)

(21)
Below is a relaxed LaSnB crystal, with properties calculated at the PBE level.

Values from the calculation:
Relative energy among the computed polymorphs (meV per atom): 54.1

Cell: 3.8290 8.5364 9.1065 Å, 90.00 90.00 90.00°
Space group Imm2 (No. 44)
Symmetry-distinct sites (fractional):
La  0.0000  0.2297  0.0000 (multiplicity 4)
Sn  0.0000  0.0000  0.3159 (multiplicity 2)
Sn  0.0000  0.5000  0.2564 (multiplicity 2)
B  0.0000  0.5000  0.4926 (multiplicity 2)
B  0.0000  0.5000  0.6656 (multiplicity 2)

(22)
Below is a relaxed La2SnB crystal, with properties calculated at the PBE level.

Values from the calculation:
Relative energy among the computed polymorphs (meV per atom): 77.1

Cell: 7.4991 7.4991 7.4991 Å, 90.00 90.00 90.00°
Space group Fm-3m (No. 225)
Symmetry-distinct sites (fractional):
La  0.2500  0.2500  0.2500 (multiplicity 8)
Sn  0.0000  0.0000  0.0000 (multiplicity 4)
B  0.0000  0.0000  0.5000 (multiplicity 4)

(23)
Below is a relaxed La2SnB crystal, with properties calculated at the PBE level.

Values from the calculation:
Relative energy among the computed polymorphs (meV per atom): 0.0

Cell: 7.9240 7.9240 7.2011 Å, 90.00 90.00 90.00°
Space group I-42d (No. 122)
Symmetry-distinct sites (fractional):
La  0.1830  0.2500  0.1250 (multiplicity 8)
Sn  0.0000  0.0000  0.5000 (multiplicity 4)
B  0.0000  0.0000  0.0000 (multiplicity 4)

(24)
Below is a relaxed LaSnB crystal, with properties calculated at the PBE level.

Values from the calculation:
Relative energy among the computed polymorphs (meV per atom): 0.0

Cell: 4.1946 5.1736 6.6044 Å, 90.00 90.00 90.00°
Space group Pmm2 (No. 25)
Symmetry-distinct sites (fractional):
La  0.0000  0.0000  0.0000 (multiplicity 1)
La  0.0000  0.5000  0.4620 (multiplicity 1)
Sn  0.5000  0.0000  0.6044 (multiplicity 1)
Sn  0.5000  0.5000  0.0469 (multiplicity 1)
B  0.5000  0.1570  0.2677 (multiplicity 2)